--- a ---
# CdCN2F

A relaxed CdCN2F crystal (PBE-GGA, Alexandria via LeMat-Bulk).

As for the total magnetic moment: 2.3 μB/cell.

The structure in POSCAR format:
```
CdCN2F
1.0
4.3614 0.0000 0.0000
0.0000 4.3614 0.0000
0.0000 0.0000 4.3709
Cd C N F
1 1 2 1
Direct
0.0000 0.0000 0.0000 Cd
0.5000 0.5000 0.5000 C
0.0000 0.5000 0.0000 N
0.5000 0.0000 0.0000 N
0.0000 0.0000 0.5000 F
```

=====

--- b ---
# CdCN2F

A relaxed CdCN2F crystal (PBE-GGA, Alexandria via LeMat-Bulk).

As for the total magnetic moment: 0.0 μB/cell.

The structure in POSCAR format:
```
CdCN2F
1.0
3.1668 0.0000 0.0000
0.0000 3.1668 0.0000
0.0000 0.0000 5.3852
Cd C N F
1 1 2 1
Direct
0.0000 0.0000 0.0000 Cd
0.5000 0.5000 0.5000 C
0.0000 0.5000 0.5000 N
0.5000 0.0000 0.5000 N
0.5000 0.5000 0.0000 F
```

=====

Tell me which of them is the most stable. Sure, it is b.